[1]
Al6GaAg4 | PBE | optimized geometry

Computed properties:
D(E_F)	0.313	states/eV/atom
M_tot	0.000	μB/atom
volume	19.8	Å³/atom
energy	-35.2	eV for the cell shown

a = 6.691 Å, b = 6.691 Å, c = 6.691 Å
α = 118.15°, β = 118.15°, γ = 93.23°
Atoms (fractional coordinates):
Al 0.000 0.500 0.500
Al 0.127 0.127 0.714
Al 0.413 0.413 0.286
Al 0.500 0.000 0.500
Al 0.587 0.873 0.000
Al 0.873 0.587 0.000
Ga 0.000 0.000 0.000
Ag 0.244 0.615 0.000
Ag 0.385 0.385 0.629
Ag 0.615 0.244 0.000
Ag 0.756 0.756 0.371

***

[2]
AlGaAg | PBE | optimized geometry

Computed properties:
D(E_F)	0.357	states/eV/atom
M_tot	0.000	μB/atom
volume	18.0	Å³/atom
energy	-19.2	eV for the cell shown

a = 5.675 Å, b = 5.675 Å, c = 7.270 Å
α = 113.36°, β = 113.36°, γ = 30.30°
Atoms (fractional coordinates):
Al 0.120 0.120 0.180
Al 0.880 0.880 0.820
Ga 0.375 0.375 0.505
Ga 0.625 0.625 0.495
Ag 0.372 0.372 0.132
Ag 0.628 0.628 0.868

***

[3]
Al3Ga2Ag8 | PBE | optimized geometry

Computed properties:
D(E_F)	0.304	states/eV/atom
M_tot	0.000	μB/atom
volume	18.2	Å³/atom
distance to the lowest polymorph of the same formula	0.000	eV per atom
energy	-39.8	eV for the cell shown

a = 6.922 Å, b = 6.922 Å, c = 5.440 Å
α = 96.51°, β = 96.51°, γ = 66.38°
Atoms (fractional coordinates):
Al 0.000 0.000 0.000
Al 0.177 0.823 0.500
Al 0.823 0.177 0.500
Ga 0.205 0.205 0.791
Ga 0.795 0.795 0.209
Ag 0.189 0.189 0.303
Ag 0.194 0.570 0.087
Ag 0.407 0.407 0.627
Ag 0.430 0.806 0.913
Ag 0.570 0.194 0.087
Ag 0.593 0.593 0.373
Ag 0.806 0.430 0.913
Ag 0.811 0.811 0.697

***

[4]
Al5Ga2Ag | PBE | optimized geometry

Computed properties:
D(E_F)	0.421	states/eV/atom
M_tot	0.000	μB/atom
volume	17.1	Å³/atom
energy	-27.4	eV for the cell shown

a = 5.749 Å, b = 5.749 Å, c = 5.666 Å
α = 118.76°, β = 118.76°, γ = 90.63°
Atoms (fractional coordinates):
Al 0.000 0.000 0.000
Al 0.000 0.000 0.500
Al 0.000 0.500 0.000
Al 0.500 0.000 0.000
Al 0.500 0.500 0.000
Ga 0.000 0.500 0.500
Ga 0.500 0.000 0.500
Ag 0.500 0.500 0.500

***

[5]
Al7GaAg12 | PBE | optimized geometry

Computed properties:
D(E_F)	0.275	states/eV/atom
M_tot	0.000	μB/atom
volume	17.5	Å³/atom
energy	-63.5	eV for the cell shown

a = 7.442 Å, b = 7.442 Å, c = 7.442 Å
α = 106.17°, β = 106.17°, γ = 106.17°
Atoms (fractional coordinates):
Al 0.000 0.000 0.000
Al 0.170 0.606 0.477
Al 0.394 0.523 0.830
Al 0.477 0.170 0.606
Al 0.523 0.830 0.394
Al 0.606 0.477 0.170
Al 0.830 0.394 0.523
Ga 0.500 0.500 0.500
Ag 0.106 0.208 0.468
Ag 0.146 0.839 0.264
Ag 0.161 0.736 0.854
Ag 0.208 0.468 0.106
Ag 0.264 0.146 0.839
Ag 0.468 0.106 0.208
Ag 0.532 0.894 0.792
Ag 0.736 0.854 0.161
Ag 0.792 0.532 0.894
Ag 0.839 0.264 0.146
Ag 0.854 0.161 0.736
Ag 0.894 0.792 0.532

***

[6]
AlGa3Ag5 | PBE | optimized geometry

Computed properties:
D(E_F)	0.323	states/eV/atom
M_tot	0.000	μB/atom
volume	19.1	Å³/atom
energy	-51.7	eV for the cell shown

a = 7.837 Å, b = 7.837 Å, c = 7.837 Å
α = 119.38°, β = 119.38°, γ = 91.08°
Atoms (fractional coordinates):
Al 0.250 0.750 0.500
Al 0.750 0.250 0.500
Ga 0.110 0.610 0.720
Ga 0.250 0.250 0.000
Ga 0.390 0.110 0.500
Ga 0.610 0.890 0.500
Ga 0.750 0.750 0.000
Ga 0.890 0.390 0.280
Ag 0.000 0.000 0.000
Ag 0.068 0.167 0.500
Ag 0.167 0.667 0.099
Ag 0.333 0.432 0.500
Ag 0.432 0.932 0.099
Ag 0.500 0.500 0.000
Ag 0.568 0.068 0.901
Ag 0.667 0.568 0.500
Ag 0.833 0.333 0.901
Ag 0.932 0.833 0.500

***

[7]
Al2GaAg5 | PBE | optimized geometry

Computed properties:
D(E_F)	0.244	states/eV/atom
M_tot	0.000	μB/atom
volume	17.7	Å³/atom
distance to the lowest polymorph of the same formula	0.016	eV per atom
energy	-24.7	eV for the cell shown

a = 7.096 Å, b = 7.096 Å, c = 7.096 Å
α = 155.74°, β = 101.11°, γ = 84.01°
Atoms (fractional coordinates):
Al 0.236 0.236 0.000
Al 0.764 0.764 0.000
Ga 0.000 0.500 0.500
Ag 0.139 0.865 0.275
Ag 0.410 0.135 0.275
Ag 0.500 0.500 0.000
Ag 0.590 0.865 0.725
Ag 0.861 0.135 0.725

***

[8]
Al6GaAg5 | PBE | optimized geometry

Computed properties:
D(E_F)	0.339	states/eV/atom
M_tot	0.000	μB/atom
volume	17.1	Å³/atom
energy	-40.0	eV for the cell shown

a = 5.192 Å, b = 5.192 Å, c = 8.965 Å
α = 95.76°, β = 95.76°, γ = 120.03°
Atoms (fractional coordinates):
Al 0.079 0.416 0.750
Al 0.245 0.245 0.250
Al 0.416 0.079 0.750
Al 0.584 0.921 0.250
Al 0.755 0.755 0.750
Al 0.921 0.584 0.250
Ga 0.500 0.500 0.000
Ag 0.000 0.000 0.500
Ag 0.166 0.834 0.000
Ag 0.334 0.666 0.500
Ag 0.666 0.334 0.500
Ag 0.834 0.166 0.000

***

[9]
AlGa6Ag3 | PBE | optimized geometry

Computed properties:
D(E_F)	0.319	states/eV/atom
M_tot	0.000	μB/atom
volume	19.1	Å³/atom
distance to the lowest polymorph of the same formula	0.065	eV per atom
energy	-59.5	eV for the cell shown

a = 6.828 Å, b = 6.910 Å, c = 10.495 Å
α = 90.00°, β = 129.61°, γ = 90.00°
Atoms (fractional coordinates):
Al 0.000 0.000 0.000
Al 0.000 0.500 0.500
Ga 0.061 0.140 0.428
Ga 0.061 0.360 0.928
Ga 0.307 0.637 0.440
Ga 0.307 0.863 0.940
Ga 0.464 0.582 0.250
Ga 0.464 0.918 0.750
Ga 0.536 0.082 0.250
Ga 0.536 0.418 0.750
Ga 0.693 0.137 0.060
Ga 0.693 0.363 0.560
Ga 0.939 0.640 0.072
Ga 0.939 0.860 0.572
Ag 0.182 0.219 0.742
Ag 0.182 0.281 0.242
Ag 0.500 0.000 0.500
Ag 0.500 0.500 0.000
Ag 0.818 0.719 0.758
Ag 0.818 0.781 0.258

***

[10]
Al8Ga6Ag | PBE | optimized geometry

Computed properties:
D(E_F)	0.285	states/eV/atom
M_tot	0.000	μB/atom
volume	18.7	Å³/atom
distance to the lowest polymorph of the same formula	0.044	eV per atom
energy	-49.1	eV for the cell shown

a = 8.095 Å, b = 8.095 Å, c = 4.950 Å
α = 90.00°, β = 90.00°, γ = 120.00°
Atoms (fractional coordinates):
Al 0.009 0.677 0.432
Al 0.323 0.332 0.432
Al 0.332 0.009 0.568
Al 0.333 0.667 0.597
Al 0.667 0.333 0.403
Al 0.668 0.991 0.432
Al 0.677 0.668 0.568
Al 0.991 0.323 0.568
Ga 0.144 0.439 0.061
Ga 0.295 0.856 0.061
Ga 0.439 0.295 0.939
Ga 0.561 0.705 0.061
Ga 0.705 0.144 0.939
Ga 0.856 0.561 0.939
Ag 0.000 0.000 0.000

***

[11]
Al5GaAg8 | PBE | optimized geometry

Computed properties:
D(E_F)	0.311	states/eV/atom
M_tot	0.000	μB/atom
volume	18.0	Å³/atom
energy	-43.9	eV for the cell shown

a = 6.911 Å, b = 6.911 Å, c = 6.911 Å
α = 112.63°, β = 112.63°, γ = 103.32°
Atoms (fractional coordinates):
Al 0.000 0.000 0.000
Al 0.304 0.211 0.660
Al 0.357 0.696 0.908
Al 0.551 0.643 0.340
Al 0.789 0.449 0.092
Ga 0.750 0.250 0.500
Ag 0.030 0.776 0.602
Ag 0.087 0.345 0.921
Ag 0.174 0.429 0.398
Ag 0.224 0.826 0.255
Ag 0.424 0.167 0.079
Ag 0.571 0.970 0.745
Ag 0.655 0.576 0.742
Ag 0.833 0.913 0.258

***

[12]
AlGa8Ag6 | PBE | optimized geometry

Computed properties:
D(E_F)	0.181	states/eV/atom
M_tot	0.000	μB/atom
volume	19.3	Å³/atom
distance to the lowest polymorph of the same formula	0.023	eV per atom
energy	-44.2	eV for the cell shown

a = 7.137 Å, b = 7.137 Å, c = 7.137 Å
α = 65.95°, β = 65.95°, γ = 65.95°
Atoms (fractional coordinates):
Al 0.000 0.000 0.000
Ga 0.119 0.792 0.455
Ga 0.208 0.545 0.881
Ga 0.308 0.308 0.308
Ga 0.455 0.119 0.792
Ga 0.545 0.881 0.208
Ga 0.692 0.692 0.692
Ga 0.792 0.455 0.119
Ga 0.881 0.208 0.545
Ag 0.067 0.375 0.712
Ag 0.288 0.933 0.625
Ag 0.375 0.712 0.067
Ag 0.625 0.288 0.933
Ag 0.712 0.067 0.375
Ag 0.933 0.625 0.288